Arrangement i

A geometry-optimized NaBiAs2Se structure. Source: Alexandria, functional GGA-PBE.

Crystal system   tetragonal

CIF file:
```
data_NaBiAs2Se
_symmetry_space_group_name_H-M 'P 4/m m m'
_symmetry_Int_Tables_number 123
_symmetry_space_group_name_Hall '-P 4 2'
_cell_length_a 5.028
_cell_length_b 5.028
_cell_length_c 5.183
_cell_angle_alpha 90.00
_cell_angle_beta 90.00
_cell_angle_gamma 90.00
loop_
_atom_site_label
_atom_site_fract_x
_atom_site_fract_y
_atom_site_fract_z
Na1 0.000 0.000 0.000
Bi1 0.500 0.500 0.500
As1 0.000 0.500 0.000
Se1 0.000 0.000 0.500
```

***

Arrangement ii

A geometry-optimized NaBiAs2Se structure. Source: Alexandria, functional GGA-PBE.

Crystal system   tetragonal

CIF file:
```
data_NaBiAs2Se
_symmetry_space_group_name_H-M 'P 4/m m m'
_symmetry_Int_Tables_number 123
_symmetry_space_group_name_Hall '-P 4 2'
_cell_length_a 5.530
_cell_length_b 5.530
_cell_length_c 5.719
_cell_angle_alpha 90.00
_cell_angle_beta 90.00
_cell_angle_gamma 90.00
loop_
_atom_site_label
_atom_site_fract_x
_atom_site_fract_y
_atom_site_fract_z
Na1 0.000 0.000 0.000
Bi1 0.500 0.500 0.500
As1 0.000 0.500 0.500
Se1 0.500 0.500 0.000
```

***

arrangement ii is the most stable structure; the next one sits 0.322 eV/atom above it.